#w
{
  "formula": "LiAlSbI2",
  "functional": "PBE",
  "state": "relaxed",
  "lattice_angstrom": [[5.526, 0.000, 0.000], [0.000, 5.526, 0.000], [0.000, 0.000, 5.155]],
  "species": ["Li", "Al", "Sb", "I", "I"],
  "fractional_positions": [[0.000, 0.000, 0.000], [0.500, 0.500, 0.500], [0.000, 0.000, 0.500], [0.000, 0.500, 0.000], [0.500, 0.000, 0.000]]
}

---

#x
{
  "formula": "LiAlSbI2",
  "functional": "PBE",
  "state": "relaxed",
  "lattice_angstrom": [[5.796, 0.000, 0.000], [0.000, 5.796, 0.000], [0.000, 0.000, 5.334]],
  "species": ["Li", "Al", "Sb", "I", "I"],
  "fractional_positions": [[0.000, 0.000, 0.000], [0.500, 0.500, 0.500], [0.500, 0.500, 0.000], [0.000, 0.500, 0.500], [0.500, 0.000, 0.500]]
}

---

Most stable = #x